Here is an optimized crystal structure of LiFeCO4 from Alexandria via LeMat-Bulk. Energies are from PBE+U.

Cell lengths 9.437, 3.153, 9.332 Å; angles 90.00, 90.00, 90.00 degrees
Space group Pnma (No. 62)
Inequivalent atoms, fractional coordinates:
Li1 0.092 0.250 0.189
Fe1 0.115 0.250 0.566
C1 0.168 0.250 0.869
O1 0.002 0.250 0.384
O2 0.035 0.250 0.872
O3 0.241 0.250 0.750
O4 0.241 0.250 0.993

Summary:
Excess energy over the best structure of this formula in the dataset, eV per atom: 0.000
Volume, A^3/atom: 9.92